Arrangement one

Below is an optimized crystal structure of LaTa2Ni, with properties calculated at the PBEsol level.

Cell lengths 5.0019, 5.0019, 5.7606 Å; angles 102.21, 102.21, 34.86 degrees
Closest atoms and distances in Å follow each position.
Sites, in units of the cell vectors:
La1 0.0000 0.0000 0.0000  3 Ni 2.97-3.21, 2 La 3.00, 3 Ta 3.17-3.18
Ta1 0.5390 0.5390 0.5314  2 Ni 2.56, 3 Ta 2.76-2.82
Ta2 0.7948 0.7948 0.3631  2 Ni 2.61, 3 Ta 2.76-2.82
Ni1 0.2521 0.2521 0.7127  4 Ta 2.56-2.61

Calculated values
For the density of states at the Fermi level, the calculation gives 3.371 states/eV/cell. As for the space group: No. 8.

Arrangement two

Below is an optimized crystal structure of LaTa2Ni, with properties calculated at the PBEsol level.

Cell lengths 3.0997, 3.0997, 7.9850 Å; angles 90.00, 90.00, 90.00 degrees
Closest atoms and distances in Å follow each position.
Sites, in units of the cell vectors:
La1 0.0000 0.0000 0.0000  4 La 3.10, 4 Ni 3.17, 4 Ta 3.33
Ta1 0.0000 0.0000 0.5508  4 Ni 2.54
Ta2 0.5000 0.5000 0.3147  8 Ta 2.89-3.10, 1 Ni 3.18
Ni1 0.5000 0.5000 0.7126  4 Ta 2.54

Calculated values
For the density of states at the Fermi level, the calculation gives 3.541 states/eV/cell. As for the space group: No. 99.

Which structure is most stable? arrangement two, by 0.235 eV/atom over the runner-up.